Computed, not measured: an optimized crystal structure of Cd2Ag6Sb at the PBE level of DFT.

Its density of states at the Fermi level is 2.49 states/eV/f.u. As for the crystal system: monoclinic. Its final energy is -2.55 eV/atom.

a b c (Å): 9.3098 4.2367 9.3123
angles (deg): 90.00 105.80 90.00
Space group C2/m (No. 12)
Unique sites:
Cd 0.1735 0.0000 0.2439 (multiplicity 4)
Ag 0.0010 0.5000 0.3423 (multiplicity 4)
Ag 0.1642 0.0000 0.5552 (multiplicity 4)
Ag 0.1663 0.0000 0.8783 (multiplicity 4)
Sb 0.0000 0.5000 0.0000 (multiplicity 2)



Computed, not measured: an optimized crystal structure of Cd6Ag12Sb at the PBE level of DFT.

Its density of states at the Fermi level is 6.75 states/eV/f.u. As for the crystal system: trigonal. Its final energy is -2.26 eV/atom.

a b c (Å): 10.3476 10.3476 12.4044
angles (deg): 90.00 90.00 120.00
Space group R-3 (No. 148, hexagonal axes)
Unique sites:
Cd 0.0040 0.5821 0.1948 (multiplicity 18)
Ag 0.0172 0.8363 0.3084 (multiplicity 18)
Ag 0.0574 0.2095 0.9161 (multiplicity 18)
Sb 0.0000 0.0000 0.5000 (multiplicity 3)



Computed, not measured: an optimized crystal structure of Cd2AgSb at the PBE level of DFT.

The calculation puts the energy above the most stable polymorph in this dataset at 24 meV per atom. Its density of states at the Fermi level is 1.24 states/eV/f.u. As for the crystal system: monoclinic. Its final energy is -2.13 eV/atom.

a b c (Å): 3.4017 4.9950 5.9142
angles (deg): 90.00 106.03 90.00
Space group Pm (No. 6)
Unique sites:
Cd 0.0000 0.0000 0.0000 (multiplicity 1)
Cd 0.4265 0.5000 0.8501 (multiplicity 1)
Ag 0.1335 0.5000 0.2784 (multiplicity 1)
Sb 0.2711 0.0000 0.5324 (multiplicity 1)



Computed, not measured: an optimized crystal structure of Cd2AgSb at the PBE level of DFT.

The calculation puts the energy above the most stable polymorph in this dataset at 74 meV per atom. Its density of states at the Fermi level is 1.22 states/eV/f.u. As for the crystal system: cubic. Its final energy is -2.08 eV/atom.

a b c (Å): 7.1874 7.1874 7.1874
angles (deg): 90.00 90.00 90.00
Space group F-43m (No. 216)
Unique sites:
Cd 0.0000 0.0000 0.0000 (multiplicity 4)
Cd 0.2500 0.2500 0.2500 (multiplicity 4)
Ag 0.0000 0.0000 0.5000 (multiplicity 4)
Sb 0.2500 0.2500 0.7500 (multiplicity 4)



Computed, not measured: an optimized crystal structure of Cd5Ag12Sb2 at the PBE level of DFT.

Its density of states at the Fermi level is 5.41 states/eV/f.u. As for the crystal system: monoclinic. Its final energy is -2.36 eV/atom.

a b c (Å): 15.5856 5.9889 9.4224
angles (deg): 90.00 105.87 90.00
Space group C2/m (No. 12)
Unique sites:
Cd 0.0000 0.0000 0.0000 (multiplicity 2)
Cd 0.1305 0.5000 0.3690 (multiplicity 4)
Cd 0.1959 0.5000 0.8701 (multiplicity 4)
Ag 0.0190 0.5000 0.8652 (multiplicity 4)
Ag 0.1446 0.0000 0.8446 (multiplicity 4)
Ag 0.1508 0.2629 0.1129 (multiplicity 8)
Ag 0.2036 0.2395 0.6192 (multiplicity 8)
Sb 0.0000 0.2380 0.5000 (multiplicity 4)



Computed, not measured: an optimized crystal structure of Cd6Ag8Sb at the PBE level of DFT.

Its density of states at the Fermi level is 3.92 states/eV/f.u. As for the crystal system: trigonal. Its final energy is -2.12 eV/atom.

a b c (Å): 7.7314 7.7314 18.2258
angles (deg): 90.00 90.00 120.00
Space group R-3 (No. 148, hexagonal axes)
Unique sites:
Cd 0.0396 0.7906 0.3964 (multiplicity 18)
Ag 0.0000 0.0000 0.2564 (multiplicity 6)
Ag 0.0018 0.7664 0.8761 (multiplicity 18)
Sb 0.0000 0.0000 0.0000 (multiplicity 3)



Computed, not measured: an optimized crystal structure of Cd2Ag8Sb at the PBE level of DFT.

The calculation puts the energy above the most stable polymorph in this dataset at 0 meV per atom. Its density of states at the Fermi level is 4.45 states/eV/f.u. As for the crystal system: triclinic. Its final energy is -2.52 eV/atom.

a b c (Å): 4.1764 5.8079 10.0114
angles (deg): 73.41 78.00 89.60
Space group P-1 (No. 2)
Unique sites:
Cd 0.2080 0.0866 0.0874 (multiplicity 2)
Ag 0.0481 0.3665 0.4013 (multiplicity 2)
Ag 0.2044 0.6011 0.0883 (multiplicity 2)
Ag 0.3581 0.7185 0.7826 (multiplicity 2)
Ag 0.3906 0.2563 0.7206 (multiplicity 2)
Sb 0.5000 0.0000 0.5000 (multiplicity 1)



Computed, not measured: an optimized crystal structure of Cd2Ag7Sb at the PBE level of DFT.

Its density of states at the Fermi level is 3.46 states/eV/f.u. As for the crystal system: orthorhombic. Its final energy is -2.32 eV/atom.

a b c (Å): 7.4686 15.4310 4.2691
angles (deg): 90.00 90.00 90.00
Space group Cmmm (No. 65)
Unique sites:
Cd 0.0000 0.1969 0.0000 (multiplicity 4)
Ag 0.0000 0.0000 0.0000 (multiplicity 2)
Ag 0.0000 0.3128 0.5000 (multiplicity 4)
Ag 0.1893 0.4003 0.0000 (multiplicity 8)
Sb 0.0000 0.5000 0.5000 (multiplicity 2)



Computed, not measured: an optimized crystal structure of Cd2AgSb at the PBE level of DFT.

The calculation puts the energy above the most stable polymorph in this dataset at 44 meV per atom. Its density of states at the Fermi level is 1.44 states/eV/f.u. As for the crystal system: orthorhombic. Its final energy is -2.11 eV/atom.

a b c (Å): 3.0670 5.5489 10.8750
angles (deg): 90.00 90.00 90.00
Space group Immm (No. 71)
Unique sites:
Cd 0.0000 0.0000 0.2316 (multiplicity 4)
Ag 0.0000 0.5000 0.5000 (multiplicity 2)
Sb 0.0000 0.5000 0.0000 (multiplicity 2)



Computed, not measured: an optimized crystal structure of Cd2Ag8Sb at the PBE level of DFT.

The calculation puts the energy above the most stable polymorph in this dataset at 46 meV per atom. Its density of states at the Fermi level is 2.92 states/eV/f.u. As for the crystal system: monoclinic. Its final energy is -2.48 eV/atom.

a b c (Å): 13.1322 7.3375 5.0998
angles (deg): 90.00 105.03 90.00
Space group C2/m (No. 12)
Unique sites:
Cd 0.1449 0.0000 0.0372 (multiplicity 4)
Ag 0.0672 0.3127 0.2847 (multiplicity 8)
Ag 0.1345 0.5000 0.8328 (multiplicity 4)
Ag 0.2381 0.0000 0.5915 (multiplicity 4)
Sb 0.0000 0.0000 0.5000 (multiplicity 2)



Computed, not measured: an optimized crystal structure of Cd2AgSb at the PBE level of DFT.

The calculation puts the energy above the most stable polymorph in this dataset at 41 meV per atom. Its density of states at the Fermi level is 1.56 states/eV/f.u. As for the crystal system: tetragonal. Its final energy is -2.11 eV/atom.

a b c (Å): 4.3710 4.3710 20.3285
angles (deg): 90.00 90.00 90.00
Space group I-42d (No. 122)
Unique sites:
Cd 0.2277 0.2500 0.1250 (multiplicity 8)
Ag 0.0000 0.0000 0.0000 (multiplicity 4)
Sb 0.0000 0.0000 0.5000 (multiplicity 4)



Computed, not measured: an optimized crystal structure of Cd2AgSb at the PBE level of DFT.

The calculation puts the energy above the most stable polymorph in this dataset at 28 meV per atom. Its density of states at the Fermi level is 1.29 states/eV/f.u. As for the crystal system: orthorhombic. Its final energy is -2.12 eV/atom.

a b c (Å): 4.4386 4.5078 4.5456
angles (deg): 90.00 90.00 90.00
Space group Pmmm (No. 47)
Unique sites:
Cd 0.0000 0.0000 0.0000 (multiplicity 1)
Cd 0.5000 0.5000 0.0000 (multiplicity 1)
Ag 0.0000 0.5000 0.5000 (multiplicity 1)
Sb 0.5000 0.0000 0.5000 (multiplicity 1)



Number 1: E_form (uncorrected) 0.008 eV/atom. Number 2: E_form (uncorrected) 0.045 eV/atom. Number 3: E_form (uncorrected) 0.072 eV/atom. Number 4: E_form (uncorrected) 0.122 eV/atom. Number 5: E_form (uncorrected) 0.120 eV/atom. Number 6: E_form (uncorrected) 0.042 eV/atom. Number 7: E_form (uncorrected) 0.091 eV/atom. Number 8: E_form (uncorrected) 0.269 eV/atom. Number 9: E_form (uncorrected) 0.092 eV/atom. Number 10: E_form (uncorrected) 0.137 eV/atom. Number 11: E_form (uncorrected) 0.089 eV/atom. Number 12: E_form (uncorrected) 0.076 eV/atom.